Version one
The following is a DFT calculation (PBE) of a relaxed Zn3OsC crystal.

CIF file:
```
data_Zn3OsC
_symmetry_space_group_name_H-M 'P m -3 m'
_symmetry_Int_Tables_number 221
_symmetry_space_group_name_Hall '-P 4 2 3'
_cell_length_a 4.0700
_cell_length_b 4.0700
_cell_length_c 4.0700
_cell_angle_alpha 90.00
_cell_angle_beta 90.00
_cell_angle_gamma 90.00
loop_
_atom_site_label
_atom_site_fract_x
_atom_site_fract_y
_atom_site_fract_z
Zn1 0.0000 0.0000 0.5000
Os1 0.5000 0.5000 0.5000
C1 0.0000 0.0000 0.0000
```



Version two
The following is a DFT calculation (PBE) of a relaxed Zn3OsC crystal.

CIF file:
```
data_Zn3OsC
_symmetry_space_group_name_H-M 'P m -3 m'
_symmetry_Int_Tables_number 221
_symmetry_space_group_name_Hall '-P 4 2 3'
_cell_length_a 4.8125
_cell_length_b 4.8125
_cell_length_c 4.8125
_cell_angle_alpha 90.00
_cell_angle_beta 90.00
_cell_angle_gamma 90.00
loop_
_atom_site_label
_atom_site_fract_x
_atom_site_fract_y
_atom_site_fract_z
Zn1 0.0000 0.0000 0.5000
Os1 0.0000 0.0000 0.0000
C1 0.5000 0.5000 0.5000
```



Q: Which of them is the most stable? A: version one.



Version one
The following is a DFT calculation (PBE) of a relaxed ZnOs3C crystal.

CIF file:
```
data_ZnOs3C
_symmetry_space_group_name_H-M 'P m -3 m'
_symmetry_Int_Tables_number 221
_symmetry_space_group_name_Hall '-P 4 2 3'
_cell_length_a 4.4818
_cell_length_b 4.4818
_cell_length_c 4.4818
_cell_angle_alpha 90.00
_cell_angle_beta 90.00
_cell_angle_gamma 90.00
loop_
_atom_site_label
_atom_site_fract_x
_atom_site_fract_y
_atom_site_fract_z
Zn1 0.0000 0.0000 0.0000
Os1 0.0000 0.0000 0.5000
C1 0.5000 0.5000 0.5000
```



Version two
The following is a DFT calculation (PBE) of a relaxed ZnOs3C crystal.

CIF file:
```
data_ZnOs3C
_symmetry_space_group_name_H-M 'P m -3 m'
_symmetry_Int_Tables_number 221
_symmetry_space_group_name_Hall '-P 4 2 3'
_cell_length_a 4.0562
_cell_length_b 4.0562
_cell_length_c 4.0562
_cell_angle_alpha 90.00
_cell_angle_beta 90.00
_cell_angle_gamma 90.00
loop_
_atom_site_label
_atom_site_fract_x
_atom_site_fract_y
_atom_site_fract_z
Zn1 0.0000 0.0000 0.0000
Os1 0.0000 0.5000 0.5000
C1 0.5000 0.5000 0.5000
```



Q: Which of them is the most stable? A: version two.



Version one
The following is a DFT calculation (PBE) of a relaxed ZnOs2C crystal.

CIF file:
```
data_ZnOs2C
_symmetry_space_group_name_H-M 'I -4 2 d'
_symmetry_Int_Tables_number 122
_symmetry_space_group_name_Hall 'I -4 2bw'
_cell_length_a 4.8927
_cell_length_b 4.8927
_cell_length_c 10.9673
_cell_angle_alpha 90.00
_cell_angle_beta 90.00
_cell_angle_gamma 90.00
loop_
_atom_site_label
_atom_site_fract_x
_atom_site_fract_y
_atom_site_fract_z
Zn1 0.0000 0.0000 0.0000
Os1 0.1297 0.2500 0.6250
C1 0.0000 0.0000 0.5000
```



Version two
The following is a DFT calculation (PBE) of a relaxed ZnOs2C crystal.

CIF file:
```
data_ZnOs2C
_symmetry_space_group_name_H-M 'F m -3 m'
_symmetry_Int_Tables_number 225
_symmetry_space_group_name_Hall '-F 4 2 3'
_cell_length_a 5.7794
_cell_length_b 5.7794
_cell_length_c 5.7794
_cell_angle_alpha 90.00
_cell_angle_beta 90.00
_cell_angle_gamma 90.00
loop_
_atom_site_label
_atom_site_fract_x
_atom_site_fract_y
_atom_site_fract_z
Zn1 0.0000 0.0000 0.0000
Os1 0.2500 0.2500 0.2500
C1 0.0000 0.0000 0.5000
```



Q: Which of them is the most stable? A: version one.



Version one
The following is a DFT calculation (PBE) of a relaxed ZnOsC3 crystal.

CIF file:
```
data_ZnOsC3
_symmetry_space_group_name_H-M 'P m -3 m'
_symmetry_Int_Tables_number 221
_symmetry_space_group_name_Hall '-P 4 2 3'
_cell_length_a 3.8120
_cell_length_b 3.8120
_cell_length_c 3.8120
_cell_angle_alpha 90.00
_cell_angle_beta 90.00
_cell_angle_gamma 90.00
loop_
_atom_site_label
_atom_site_fract_x
_atom_site_fract_y
_atom_site_fract_z
Zn1 0.0000 0.0000 0.0000
Os1 0.5000 0.5000 0.5000
C1 0.0000 0.0000 0.5000
```



Version two
The following is a DFT calculation (PBE) of a relaxed ZnOsC3 crystal.

CIF file:
```
data_ZnOsC3
_symmetry_space_group_name_H-M 'P m -3 m'
_symmetry_Int_Tables_number 221
_symmetry_space_group_name_Hall '-P 4 2 3'
_cell_length_a 4.0118
_cell_length_b 4.0118
_cell_length_c 4.0118
_cell_angle_alpha 90.00
_cell_angle_beta 90.00
_cell_angle_gamma 90.00
loop_
_atom_site_label
_atom_site_fract_x
_atom_site_fract_y
_atom_site_fract_z
Zn1 0.0000 0.0000 0.0000
Os1 0.5000 0.5000 0.5000
C1 0.0000 0.5000 0.5000
```



Q: Which of them is the most stable? A: version two.